*one*
A plane-wave DFT calculation with GGA-PBE was carried out for an optimized crystal structure of AlTl2Ag.

Computed properties:
SG: I-42d
Density: 8.9 Mg/m³

a b c (Å): 4.404 4.404 10.866
angles (deg): 78.31 78.31 90.00
Fractional positions:
Tl: 0.626 0.125 0.250
Tl: 0.124 0.625 0.250
Tl: 0.375 0.374 0.750
Tl: 0.875 0.876 0.750
Al: 0.500 0.500 0.000
Al: 0.250 0.750 0.500
Ag: 0.000 0.000 0.000
Ag: 0.750 0.250 0.500

---

*two*
A plane-wave DFT calculation with GGA-PBE was carried out for an optimized crystal structure of AlTl2Ag.

Computed properties:
SG: Cmmm
Density: 9.4 Mg/m³

a b c (Å): 3.240 3.240 10.083
angles (deg): 90.00 90.00 114.49
Fractional positions:
Tl: 0.000 0.000 0.005
Tl: 0.000 0.000 0.495
Al: 0.500 0.500 0.750
Ag: 0.500 0.500 0.250

---

Most stable of them? *two*.

---

*one*
A plane-wave DFT calculation with GGA-PBE was carried out for an optimized crystal structure of Tm2Al2Ag.

Computed properties:
SG: C2/m
Density: 7.4 Mg/m³

a b c (Å): 4.496 5.811 9.576
angles (deg): 88.35 76.42 67.24
Fractional positions:
Tm: 0.679 0.313 0.329
Tm: 0.920 0.259 0.900
Tm: 0.321 0.687 0.671
Tm: 0.080 0.741 0.100
Al: 0.073 0.289 0.566
Al: 0.639 0.837 0.884
Al: 0.927 0.711 0.434
Al: 0.361 0.163 0.116
Ag: 0.624 0.101 0.652
Ag: 0.376 0.899 0.348

---

*two*
A plane-wave DFT calculation with GGA-PBE was carried out for an optimized crystal structure of Tm2Al2Ag.

Computed properties:
SG: P4/mbm
Density: 7.5 Mg/m³

a b c (Å): 6.938 6.938 9.178
angles (deg): 90.00 90.00 90.00
Fractional positions:
Tm: 0.668 0.832 0.500
Tm: 0.332 0.168 0.500
Tm: 0.832 0.332 0.000
Tm: 0.168 0.668 0.000
Tm: 0.832 0.332 0.500
Tm: 0.168 0.668 0.500
Tm: 0.332 0.168 0.000
Tm: 0.668 0.832 0.000
Al: 0.365 0.865 0.250
Al: 0.635 0.135 0.250
Al: 0.135 0.365 0.750
Al: 0.865 0.635 0.750
Al: 0.865 0.635 0.250
Al: 0.135 0.365 0.250
Al: 0.365 0.865 0.750
Al: 0.635 0.135 0.750
Ag: 0.500 0.500 0.250
Ag: 0.000 0.000 0.750
Ag: 0.500 0.500 0.750
Ag: 0.000 0.000 0.250

---

Most stable of them? *one*.